Density functional theory data (PBE-GGA) for a relaxed structure of ZrHgIr3.

The structure in CIF format:
```
data_ZrHgIr3
_chemical_formula_sum 'Zr1 Hg1 Ir3'
_cell_length_a 4.8811
_cell_length_b 4.8811
_cell_length_c 4.8811
_cell_angle_alpha 90.00
_cell_angle_beta 90.00
_cell_angle_gamma 90.00
_space_group_name_H-M_alt 'P 1'
_space_group_IT_number 1
loop_
_space_group_symop_operation_xyz
'x,y,z'
loop_
_atom_site_label
_atom_site_type_symbol
_atom_site_fract_x
_atom_site_fract_y
_atom_site_fract_z
Zr1 Zr 0.0000 0.0000 0.0000
Hg1 Hg 0.5000 0.5000 0.5000
Ir1 Ir 0.0000 0.0000 0.5000
Ir2 Ir 0.0000 0.5000 0.0000
Ir3 Ir 0.5000 0.0000 0.0000
```

Output
- Electronic total energy: -5.581 eV per atom
- Energy above the most stable polymorph in this dataset: 0.0 meV/atom
- Spin magnetization: 0.00 μB/f.u.
- Calculated formation energy: 7.5 eV per formula unit